(1)
Compound: CsTe4As2
Source: Alexandria via LeMat-Bulk
Functional: PBE-GGA
Structure: optimized geometry Values from VASP.

Spin magnetization ... 0.0 μB per formula unit
Uncorrected formation energy ... -0.252 eV/atom
Symmetry ... P1, No. 1

Cell and atoms, written as Quantum ESPRESSO input:
```
&SYSTEM
  ibrav = 0, nat = 14, ntyp = 3
/
ATOMIC_SPECIES
Cs 132.91 Cs.upf
Te 127.60 Te.upf
As 74.92 As.upf
CELL_PARAMETERS angstrom
7.442 0.000 0.000
1.578 7.736 0.000
2.448 1.552 9.999
ATOMIC_POSITIONS crystal
Cs 0.000 0.000 0.000
Cs 0.271 0.319 0.576
Te 0.028 0.529 0.934
Te 0.040 0.695 0.338
Te 0.236 0.786 0.668
Te 0.518 0.344 0.014
Te 0.522 0.813 0.091
Te 0.694 0.926 0.599
Te 0.732 0.383 0.669
Te 0.895 0.385 0.211
As 0.053 0.943 0.479
As 0.529 0.499 0.221
As 0.682 0.602 0.864
As 0.691 0.660 0.477
```

***

(2)
Compound: TlReSb2
Source: Alexandria via LeMat-Bulk
Functional: PBE-GGA
Structure: optimized geometry Values from VASP.

Spin magnetization ... 0.0 μB per formula unit
Energy above the most stable polymorph in this dataset ... 0.6808 eV/atom
Uncorrected formation energy ... 0.900 eV/atom
Symmetry ... C2/m, No. 12

Cell and atoms, written as Quantum ESPRESSO input:
```
&SYSTEM
  ibrav = 0, nat = 8, ntyp = 3
/
ATOMIC_SPECIES
Tl 204.38 Tl.upf
Re 186.21 Re.upf
Sb 121.76 Sb.upf
CELL_PARAMETERS angstrom
6.020 0.000 0.000
0.000 8.317 0.000
-0.047 0.000 3.580
ATOMIC_POSITIONS crystal
Tl 0.000 0.000 0.000
Tl 0.500 0.500 0.000
Re 0.000 0.500 0.000
Re 0.500 0.000 0.000
Sb 0.250 0.250 0.500
Sb 0.250 0.750 0.500
Sb 0.750 0.250 0.500
Sb 0.750 0.750 0.500
```

***

What did the second record say?
Compound: TlReSb2
Source: Alexandria via LeMat-Bulk
Functional: PBE-GGA
Structure: optimized geometry Values from VASP.

Spin magnetization ... 0.0 μB per formula unit
Energy above the most stable polymorph in this dataset ... 0.6808 eV/atom
Uncorrected formation energy ... 0.900 eV/atom
Symmetry ... C2/m, No. 12

Cell and atoms, written as Quantum ESPRESSO input:
```
&SYSTEM
  ibrav = 0, nat = 8, ntyp = 3
/
ATOMIC_SPECIES
Tl 204.38 Tl.upf
Re 186.21 Re.upf
Sb 121.76 Sb.upf
CELL_PARAMETERS angstrom
6.020 0.000 0.000
0.000 8.317 0.000
-0.047 0.000 3.580
ATOMIC_POSITIONS crystal
Tl 0.000 0.000 0.000
Tl 0.500 0.500 0.000
Re 0.000 0.500 0.000
Re 0.500 0.000 0.000
Sb 0.250 0.250 0.500
Sb 0.250 0.750 0.500
Sb 0.750 0.250 0.500
Sb 0.750 0.750 0.500
```